Compound: AcPm2PrSb4
Source: the Alexandria database
Functional: PBE
Structure: relaxed

Output
- Raw formation energy: -1.18 eV per atom
- SG: P2/m (10)

a = 4.590 Å, b = 7.946 Å, c = 7.948 Å
α = 70.56°, β = 90.00°, γ = 90.00°
Element x y z (fractional)
Sb1 0.500 0.758 0.253
Sb2 0.500 0.242 0.747
Sb3 0.000 0.238 0.260
Sb4 0.000 0.762 0.740
Pm1 0.000 0.000 0.000
Pm2 0.500 0.000 0.500
Pr1 0.000 0.500 0.500
Ac1 0.500 0.500 0.000

Compound: NbFe8Mo3
Source: the Alexandria database
Functional: PBE
Structure: relaxed

Output
- Calculated formation energy: -0.041 eV per atom
- SG: P3m1 (156)

a = 4.700 Å, b = 4.700 Å, c = 7.826 Å
α = 90.00°, β = 90.00°, γ = 120.00°
Site moments in Bohr magnetons follow the coordinates.
Element x y z (fractional)
Fe1 0.333 0.667 0.000  -1.48
Fe2 0.163 0.326 0.249  1.16
Fe3 0.163 0.837 0.249  1.16
Fe4 0.504 0.496 0.752  1.16
Fe5 0.674 0.837 0.249  1.16
Fe6 0.333 0.667 0.501  -1.45
Fe7 0.992 0.496 0.752  1.16
Fe8 0.504 0.008 0.752  1.16
Nb1 0.000 0.000 0.568  -0.09
Mo1 0.667 0.333 0.068  -0.03
Mo2 0.000 0.000 0.935  0.04
Mo3 0.667 0.333 0.424  -0.08

Compound: Ca3Tl4Zn2
Source: the Alexandria database
Functional: PBE
Structure: relaxed

Output
- Calculated formation energy: -0.272 eV per atom
- SG: C2/m (12)

a = 4.977 Å, b = 6.247 Å, c = 9.275 Å
α = 113.80°, β = 90.00°, γ = 113.48°
Element x y z (fractional)
Zn1 0.611 0.223 0.285
Zn2 0.389 0.777 0.715
Tl1 0.916 0.833 0.594
Tl2 0.084 0.167 0.406
Tl3 0.694 0.388 0.043
Tl4 0.306 0.612 0.957
Ca1 0.000 0.000 0.000
Ca2 0.661 0.322 0.671
Ca3 0.339 0.678 0.329

Compound: Li2Ac6Co3
Source: the Alexandria database
Functional: PBE
Structure: relaxed

Output
- Calculated formation energy: 0.061 eV per atom
- SG: C2/m (12)

a = 7.271 Å, b = 7.273 Å, c = 8.926 Å
α = 82.18°, β = 74.20°, γ = 60.01°
Element x y z (fractional)
Ac1 0.727 0.000 0.819
Ac2 0.606 0.333 0.181
Ac3 0.940 0.667 0.181
Ac4 0.394 0.667 0.819
Ac5 0.060 0.333 0.819
Ac6 0.273 0.000 0.181
Li1 0.833 0.333 0.500
Li2 0.167 0.667 0.500
Co1 0.000 0.000 0.000
Co2 0.333 0.333 0.000
Co3 0.667 0.667 0.000

Compound: NpPa2P3
Source: the Alexandria database
Functional: PBE
Structure: relaxed

Output
- Calculated formation energy: -1.179 eV per atom
- SG: Immm (71)

a = 3.975 Å, b = 5.601 Å, c = 6.861 Å
α = 114.09°, β = 106.84°, γ = 90.00°
Site moments in Bohr magnetons follow the coordinates.
Element x y z (fractional)
P1 0.000 0.000 0.000  -0.03
P2 0.666 0.666 0.332  -0.03
P3 0.334 0.334 0.668  -0.03
Pa1 0.333 0.833 0.666  -0.04
Pa2 0.667 0.167 0.334  -0.04
Np1 0.000 0.500 0.000  3.54

Compound: La2Sm8In
Source: the Alexandria database
Functional: PBE
Structure: relaxed

Output
- Calculated formation energy: -0.058 eV per atom
- Energy relative to the lowest polymorph listed for this composition: 0 kJ/mol of formula units
- SG: C2/m (12)

a = 5.071 Å, b = 8.060 Å, c = 9.561 Å
α = 104.58°, β = 105.38°, γ = 90.00°
Element x y z (fractional)
Sm1 0.865 0.826 0.730
Sm2 0.322 0.093 0.645
Sm3 0.957 0.272 0.914
Sm4 0.135 0.174 0.270
Sm5 0.043 0.728 0.086
Sm6 0.588 0.440 0.176
Sm7 0.678 0.907 0.355
Sm8 0.412 0.560 0.824
La1 0.223 0.633 0.446
La2 0.777 0.367 0.554
In1 0.500 0.000 0.000

Compound: GeP3F
Source: the Alexandria database
Functional: PBE
Structure: relaxed

Output
- Energy relative to the lowest polymorph listed for this composition: 85 kJ/mol of formula units
- Raw formation energy: 0.90 eV per atom
- SG: Pm-3m (221)

a = 4.687 Å, b = 4.687 Å, c = 4.687 Å
α = 90.00°, β = 90.00°, γ = 90.00°
Element x y z (fractional)
P1 0.000 0.000 0.500
P2 0.500 0.000 0.000
P3 0.000 0.500 0.000
Ge1 0.000 0.000 0.000
F1 0.500 0.500 0.500

Compound: Tb15Sm4In
Source: the Alexandria database
Functional: PBE
Structure: relaxed

Output
- Calculated formation energy: -0.034 eV per atom
- SG: P4/mmm (123)

a = 5.001 Å, b = 5.001 Å, c = 25.327 Å
α = 90.00°, β = 90.00°, γ = 90.00°
Element x y z (fractional)
In1 0.000 0.000 0.000
Tb1 0.500 0.500 0.195
Tb2 0.500 0.000 0.096
Tb3 0.500 0.000 0.702
Tb4 0.500 0.500 0.602
Tb5 0.500 0.500 0.805
Tb6 0.000 0.500 0.500
Tb7 0.000 0.500 0.904
Tb8 0.000 0.500 0.702
Tb9 0.000 0.500 0.298
Tb10 0.500 0.500 0.398
Tb11 0.500 0.500 0.000
Tb12 0.500 0.000 0.298
Tb13 0.500 0.000 0.500
Tb14 0.500 0.000 0.904
Tb15 0.000 0.500 0.096
Sm1 0.000 0.000 0.399
Sm2 0.000 0.000 0.803
Sm3 0.000 0.000 0.197
Sm4 0.000 0.000 0.601

Compound: TmZnGa4Cu2
Source: the Alexandria database
Functional: PBE
Structure: relaxed

Output
- Calculated formation energy: -0.179 eV per atom
- SG: R-3m (166)

a = 4.283 Å, b = 4.283 Å, c = 8.873 Å
α = 76.03°, β = 76.03°, γ = 60.00°
Element x y z (fractional)
Ga1 0.124 0.124 0.627
Ga2 0.396 0.396 0.813
Ga3 0.876 0.876 0.373
Ga4 0.604 0.604 0.187
Cu1 0.752 0.752 0.743
Cu2 0.248 0.248 0.257
Zn1 0.500 0.500 0.500
Tm1 0.000 0.000 0.000

Compound: PtWIN2
Source: the Alexandria database
Functional: PBE
Structure: relaxed

Output
- Energy relative to the lowest polymorph listed for this composition: 617 kJ/mol of formula units
- Raw formation energy: 2.02 eV per atom
- SG: P4/mmm (123)

a = 3.845 Å, b = 3.845 Å, c = 7.851 Å
α = 90.00°, β = 90.00°, γ = 90.00°
Site moments in Bohr magnetons follow the coordinates.
Element x y z (fractional)
W1 0.500 0.500 0.500  2.65
N1 0.000 0.500 0.000  0.03
N2 0.500 0.000 0.000  0.03
I1 0.000 0.000 0.500  0.04
Pt1 0.000 0.000 0.000  0.02

Compound: Co2CuSiGe
Source: the Alexandria database
Functional: PBE
Structure: relaxed

Output
- Raw formation energy: 1.09 eV per atom
- SG: P4/mmm (123)

a = 4.439 Å, b = 4.257 Å, c = 4.439 Å
α = 90.00°, β = 90.00°, γ = 90.00°
Site moments in Bohr magnetons follow the coordinates.
Element x y z (fractional)
Cu1 0.000 0.000 0.000  0.05
Si1 0.500 0.500 0.500  -0.01
Co1 0.500 0.000 0.000  1.61
Co2 0.000 0.000 0.500  1.78
Ge1 0.000 0.500 0.000  0.06

Compound: Sr2Ga5Os
Source: the Alexandria database
Functional: PBE
Structure: relaxed

Output
- Calculated formation energy: -0.252 eV per atom
- SG: I4mm (107)

a = 6.775 Å, b = 6.775 Å, c = 6.775 Å
α = 78.50°, β = 126.85°, γ = 126.85°
Element x y z (fractional)
Ga1 0.548 0.254 0.254
Ga2 0.452 0.706 0.706
Ga3 0.000 0.299 0.299
Ga4 0.000 0.254 0.706
Ga5 0.000 0.706 0.254
Sr1 0.500 0.721 0.221
Sr2 0.500 0.221 0.721
Os1 0.000 0.059 0.059